1.
First-principles (PBE) data for a relaxed Ba3InPb2 crystal, as listed in the Alexandria database.

Total DFT energy (no corrections) (eV per atom): -3.1535
Calculated formation energy (eV/f.u.): -3.00
SG: Pnma
Crystal system: orthorhombic

a b c (Å): 5.0797 14.3034 14.1863
angles (deg): 90.00 90.00 90.00
Last column: nearest neighbours and their distance in Å.
Positions (direct):
Pb 0.7500 0.9920 0.6950  1 In 3.07
Pb 0.2500 0.0080 0.3050  1 In 3.07
Pb 0.7500 0.3152 0.5246  2 In 3.07
Pb 0.2500 0.4920 0.8050  1 In 3.07
Pb 0.2500 0.8152 0.9754  2 In 3.07
Pb 0.2500 0.6848 0.4754  2 In 3.07
Pb 0.7500 0.1848 0.0246  2 In 3.07
Pb 0.7500 0.5080 0.1950  1 In 3.07
Ba 0.2500 0.6946 0.1983  2 In 3.49, 3 Pb 3.60-3.69
Ba 0.2500 0.1164 0.5658  1 In 3.55, 4 Pb 3.60-3.86
Ba 0.7500 0.9449 0.1241  5 Pb 3.71-3.79, 3 In 3.85-3.96
Ba 0.7500 0.1946 0.3017  2 In 3.49, 3 Pb 3.60-3.69
Ba 0.2500 0.8054 0.6983  2 In 3.49, 3 Pb 3.60-3.69
Ba 0.7500 0.8836 0.4342  1 In 3.55, 4 Pb 3.60-3.86
Ba 0.7500 0.3054 0.8017  2 In 3.49, 3 Pb 3.60-3.69
Ba 0.7500 0.5551 0.6241  5 Pb 3.71-3.79, 3 In 3.85-3.96
Ba 0.2500 0.0551 0.8759  5 Pb 3.71-3.79, 3 In 3.85-3.96
Ba 0.7500 0.6164 0.9342  1 In 3.55, 4 Pb 3.60-3.86
Ba 0.2500 0.3836 0.0658  1 In 3.55, 4 Pb 3.60-3.86
Ba 0.2500 0.4449 0.3759  5 Pb 3.71-3.79, 3 In 3.85-3.96
In 0.7500 0.6463 0.3603  3 Pb 3.07
In 0.2500 0.3537 0.6397  3 Pb 3.07
In 0.7500 0.8537 0.8603  3 Pb 3.07
In 0.2500 0.1463 0.1397  3 Pb 3.07



2.
First-principles (PBE) data for a relaxed BaIn2Pb crystal, as listed in the Alexandria database.

Total DFT energy (no corrections) (eV per atom): -3.0746
Calculated formation energy (eV/f.u.): -1.19
SG: P4/mmm
Crystal system: tetragonal

a b c (Å): 5.0241 5.0196 5.1296
angles (deg): 90.00 90.00 90.00
Last column: nearest neighbours and their distance in Å.
Positions (direct):
Ba 0.0000 0.5000 0.5000  4 Pb 3.55, 8 In 3.59
Pb 0.5000 0.0000 0.5000  4 Ba 3.55, 8 In 3.59
In 0.0000 0.0000 0.0000  4 In 3.55, 4 Ba 3.59, 4 Pb 3.59
In 0.5000 0.5000 0.0000  4 In 3.55, 4 Pb 3.59, 4 Ba 3.59



Which formula does entry 1 have? Ba3InPb2